Material: YVCdSe2
Method: DFT, PBE-GGA
State: relaxed

Computed properties:
Space-group type: P4/mmm
Formation energy without anion corrections in eV per formula unit: 3.9
Crystal system: tetragonal
Total DFT energy (no corrections) in eV for the cell shown: -19.532
Magnetic moment in μB per cell: 4.1

a = 5.2213 Å, b = 5.2213 Å, c = 5.4817 Å
α = 90.00°, β = 90.00°, γ = 90.00°
Last column: nearest neighbours and their distance in Å.
Sites, in units of the cell vectors:
Se 0.5000 0.0000 0.0000  2 Cd 2.61
Se 0.0000 0.5000 0.0000  2 Cd 2.61
Cd 0.0000 0.0000 0.0000  4 Se 2.61, 2 Y 2.74
V 0.5000 0.5000 0.5000  4 Y 3.69, 8 Se 3.79
Y 0.0000 0.0000 0.5000  2 Cd 2.74

***

Material: Ca2AsC
Method: DFT, PBE-GGA
State: relaxed

Computed properties:
Space-group type: Fm-3m
Crystal system: cubic
Total DFT energy (no corrections) in eV for the cell shown: -16.818
Magnetic moment in μB per cell: 0.0

a = 4.8500 Å, b = 4.8500 Å, c = 4.8500 Å
α = 60.00°, β = 60.00°, γ = 60.00°
Last column: nearest neighbours and their distance in Å.
Sites, in units of the cell vectors:
Ca 0.7500 0.7500 0.7500  4 As 2.97, 4 C 2.97
Ca 0.2500 0.2500 0.2500  4 As 2.97, 4 C 2.97
C 0.0000 0.0000 0.0000  8 Ca 2.97
As 0.5000 0.5000 0.5000  8 Ca 2.97

***

Material: Li3Pa2Pt4
Method: DFT, PBE-GGA
State: relaxed

Computed properties:
Space-group type: Cmce
Crystal system: orthorhombic
Total DFT energy (no corrections) in eV for the cell shown: -110.499
Magnetic moment in μB per cell: 0.0

a = 5.4985 Å, b = 7.3015 Å, c = 8.2671 Å
α = 90.00°, β = 109.42°, γ = 90.00°
Last column: nearest neighbours and their distance in Å.
Sites, in units of the cell vectors:
Li 0.0273 0.7500 0.5546  5 Pt 2.56-2.70, 2 Li 2.75
Li 0.0000 0.0000 0.0000  6 Pt 2.46-2.67
Li 0.9727 0.2500 0.4454  5 Pt 2.56-2.70, 2 Li 2.75
Li 0.5000 0.5000 0.0000  6 Pt 2.46-2.67
Li 0.5273 0.7500 0.5546  5 Pt 2.56-2.70, 2 Li 2.75
Li 0.4727 0.2500 0.4454  5 Pt 2.56-2.70, 2 Li 2.75
Pa 0.6089 0.9120 0.2178  5 Pt 2.82-2.93
Pa 0.1089 0.5880 0.2178  5 Pt 2.82-2.93
Pa 0.3911 0.0880 0.7822  5 Pt 2.82-2.93
Pa 0.8911 0.4120 0.7822  5 Pt 2.82-2.93
Pt 0.1696 0.9518 0.3393  5 Li 2.62-2.70, 3 Pa 2.82-2.92
Pt 0.6917 0.7500 0.8833  3 Li 2.46-2.56, 2 Pt 2.75
Pt 0.1917 0.7500 0.8833  3 Li 2.46-2.56, 2 Pt 2.75
Pt 0.6696 0.5482 0.3393  5 Li 2.62-2.70, 3 Pa 2.82-2.92
Pt 0.8304 0.0482 0.6607  5 Li 2.62-2.70, 3 Pa 2.82-2.92
Pt 0.3304 0.4518 0.6607  5 Li 2.62-2.70, 3 Pa 2.82-2.92
Pt 0.3083 0.2500 0.1167  3 Li 2.46-2.56, 2 Pt 2.75
Pt 0.8083 0.2500 0.1167  3 Li 2.46-2.56, 2 Pt 2.75

***

Material: BeCoPt3
Method: DFT, PBE-GGA
State: relaxed

Computed properties:
Space-group type: Pm-3m
Crystal system: cubic
Total DFT energy (no corrections) in eV for the cell shown: -23.214
Magnetic moment in μB per cell: 2.9

a = 4.5322 Å, b = 4.5322 Å, c = 4.5322 Å
α = 90.00°, β = 90.00°, γ = 90.00°
Last column: nearest neighbours and their distance in Å.
Sites, in units of the cell vectors:
Pt 0.0000 0.0000 0.5000  2 Co 2.27
Pt 0.0000 0.5000 0.0000  2 Co 2.27
Pt 0.5000 0.0000 0.0000  2 Co 2.27
Be 0.5000 0.5000 0.5000  12 Pt 3.20
Co 0.0000 0.0000 0.0000  6 Pt 2.27

***

Material: Ca2TaI
Method: DFT, PBE-GGA
State: relaxed

Computed properties:
Space-group type: I-42d
Formation energy without anion corrections in eV per formula unit: 2.8
Crystal system: tetragonal
Total DFT energy (no corrections) in eV for the cell shown: -29.129
Magnetic moment in μB per cell: 7.5

a = 8.5605 Å, b = 8.5605 Å, c = 7.0104 Å
α = 52.37°, β = 52.37°, γ = 90.00°
Last column: nearest neighbours and their distance in Å.
Sites, in units of the cell vectors:
Ta 0.0000 0.0000 0.0000  4 Ca 3.19, 2 I 3.54
Ta 0.7500 0.2500 0.5000  4 Ca 3.19, 2 I 3.54
Ca 0.6181 0.1250 0.2500  2 I 3.11, 2 Ta 3.19
Ca 0.8750 0.8681 0.7500  2 I 3.11, 2 Ta 3.19
Ca 0.1319 0.6250 0.2500  2 I 3.11, 2 Ta 3.19
Ca 0.3750 0.3819 0.7500  2 I 3.11, 2 Ta 3.19
I 0.5000 0.5000 0.0000  4 Ca 3.11
I 0.2500 0.7500 0.5000  4 Ca 3.11

***

Material: PaMnCuRh
Method: DFT, PBE-GGA
State: relaxed

Computed properties:
Space-group type: F-43m
Crystal system: cubic
Total DFT energy (no corrections) in eV for the cell shown: -30.667
Magnetic moment in μB per cell: 1.9

a = 4.5207 Å, b = 4.5207 Å, c = 4.5207 Å
α = 60.00°, β = 60.00°, γ = 60.00°
Last column: nearest neighbours and their distance in Å.
Sites, in units of the cell vectors:
Mn 0.5000 0.5000 0.5000  4 Pa 2.77, 4 Cu 2.77
Cu 0.7500 0.7500 0.7500  4 Mn 2.77, 4 Rh 2.77
Pa 0.2500 0.2500 0.2500  4 Mn 2.77, 4 Rh 2.77
Rh 0.0000 0.0000 0.0000  4 Pa 2.77, 4 Cu 2.77

***

Material: ErSnPb
Method: DFT, PBE-GGA
State: relaxed

Computed properties:
Space-group type: Pmma
Crystal system: orthorhombic
Total DFT energy (no corrections) in eV for the cell shown: -25.616
Magnetic moment in μB per cell: 0.0

a = 3.5080 Å, b = 5.9740 Å, c = 8.2072 Å
α = 90.00°, β = 90.00°, γ = 90.00°
Last column: nearest neighbours and their distance in Å.
Sites, in units of the cell vectors:
Er 0.0000 0.2500 0.6672  2 Sn 3.11, 6 Pb 3.35-3.47
Er 0.0000 0.7500 0.3328  2 Sn 3.11, 6 Pb 3.35-3.47
Sn 0.0000 0.0000 0.0000  2 Sn 2.99, 2 Er 3.11
Sn 0.0000 0.5000 0.0000  2 Sn 2.99, 2 Er 3.11
Pb 0.5000 0.2500 0.3198  6 Er 3.35-3.47, 4 Sn 3.49, 2 Pb 3.51
Pb 0.5000 0.7500 0.6802  6 Er 3.35-3.47, 4 Sn 3.49, 2 Pb 3.51

***

Material: Hg4BiPd5
Method: DFT, PBE-GGA
State: relaxed

Computed properties:
Space-group type: P4/mmm
Crystal system: tetragonal
Total DFT energy (no corrections) in eV for the cell shown: -32.755
Magnetic moment in μB per cell: 0.0

a = 3.3892 Å, b = 3.3892 Å, c = 16.3568 Å
α = 90.00°, β = 90.00°, γ = 90.00°
Last column: nearest neighbours and their distance in Å.
Sites, in units of the cell vectors:
Pd 0.5000 0.5000 0.5000  8 Hg 2.87, 2 Pd 3.15
Pd 0.5000 0.5000 0.1128  4 Hg 2.87, 4 Bi 3.02, 1 Pd 3.18
Pd 0.5000 0.5000 0.3074  8 Hg 2.87-2.88, 2 Pd 3.15-3.18
Pd 0.5000 0.5000 0.6926  8 Hg 2.87-2.88, 2 Pd 3.15-3.18
Pd 0.5000 0.5000 0.8872  4 Hg 2.87, 4 Bi 3.02, 1 Pd 3.18
Hg 0.0000 0.0000 0.5964  8 Pd 2.87, 2 Hg 3.15-3.18
Hg 0.0000 0.0000 0.7905  8 Pd 2.87-2.88, 1 Hg 3.18
Hg 0.0000 0.0000 0.2095  8 Pd 2.87-2.88, 1 Hg 3.18
Hg 0.0000 0.0000 0.4036  8 Pd 2.87, 2 Hg 3.15-3.18
Bi 0.0000 0.0000 0.0000  8 Pd 3.02

***

Material: NaTaZn
Method: DFT, PBE-GGA
State: relaxed

Computed properties:
Space-group type: Pnma
Crystal system: orthorhombic
Total DFT energy (no corrections) in eV for the cell shown: -54.251
Magnetic moment in μB per cell: 0.0

a = 8.2865 Å, b = 2.6374 Å, c = 10.5596 Å
α = 90.00°, β = 90.00°, γ = 90.00°
Last column: nearest neighbours and their distance in Å.
Sites, in units of the cell vectors:
Zn 0.8444 0.2500 0.7053  2 Zn 2.64, 4 Ta 2.88-2.89
Zn 0.6556 0.7500 0.2053  2 Zn 2.64, 4 Ta 2.88-2.89
Zn 0.1556 0.7500 0.2947  2 Zn 2.64, 4 Ta 2.88-2.89
Zn 0.3444 0.2500 0.7947  2 Zn 2.64, 4 Ta 2.88-2.89
Ta 0.4451 0.2500 0.3829  4 Ta 2.64-2.95, 4 Zn 2.88-2.89
Ta 0.9451 0.2500 0.1171  4 Ta 2.64-2.95, 4 Zn 2.88-2.89
Ta 0.5549 0.7500 0.6171  4 Ta 2.64-2.95, 4 Zn 2.88-2.89
Ta 0.0549 0.7500 0.8829  4 Ta 2.64-2.95, 4 Zn 2.88-2.89
Na 0.8351 0.2500 0.4193  2 Na 2.64
Na 0.1649 0.7500 0.5807  2 Na 2.64
Na 0.6649 0.7500 0.9193  2 Na 2.64
Na 0.3351 0.2500 0.0807  2 Na 2.64

***

Material: CoPH2
Method: DFT, PBE-GGA
State: relaxed

Computed properties:
Space-group type: Amm2
Crystal system: orthorhombic
Total DFT energy (no corrections) in eV for the cell shown: -38.702
Magnetic moment in μB per cell: 0.0

a = 3.0628 Å, b = 2.5244 Å, c = 10.3723 Å
α = 90.00°, β = 90.00°, γ = 90.00°
Last column: nearest neighbours and their distance in Å.
Sites, in units of the cell vectors:
Co 0.0000 0.0000 0.7810  2 H 1.69
Co 0.0000 0.5000 0.2810  2 H 1.69
H 0.5000 0.0000 0.5138  1 P 1.43
H 0.0000 0.5000 0.6730  2 Co 1.69
H 0.0000 0.0000 0.1730  2 Co 1.69
H 0.5000 0.5000 0.0138  1 P 1.43
P 0.5000 0.0000 0.3763  1 H 1.43
P 0.5000 0.5000 0.8763  1 H 1.43

***

Material: ZrBrOF2
Method: DFT, PBE-GGA
State: relaxed

Computed properties:
Space-group type: P4/mmm
Formation energy without anion corrections in eV per formula unit: -0.8
Crystal system: tetragonal
Total DFT energy (no corrections) in eV for the cell shown: -19.733
Magnetic moment in μB per cell: 1.4

a = 4.9751 Å, b = 4.9751 Å, c = 3.6524 Å
α = 90.00°, β = 90.00°, γ = 90.00°
Last column: nearest neighbours and their distance in Å.
Sites, in units of the cell vectors:
O 0.0000 0.0000 0.5000  2 Br 1.83
Br 0.0000 0.0000 0.0000  2 O 1.83
F 0.0000 0.5000 0.0000  2 Br 2.49
F 0.5000 0.0000 0.0000  2 Br 2.49
Zr 0.5000 0.5000 0.5000  8 F 3.09

***

Material: Pd2RhO4
Method: DFT, PBE-GGA
State: relaxed

Computed properties:
Space-group type: C2/m
Formation energy without anion corrections in eV per formula unit: -3.3
Crystal system: monoclinic
Total DFT energy (no corrections) in eV for the cell shown: -40.915
Magnetic moment in μB per cell: 0.0

a = 3.1654 Å, b = 4.4504 Å, c = 6.3413 Å
α = 109.44°, β = 104.45°, γ = 90.00°
Last column: nearest neighbours and their distance in Å.
Sites, in units of the cell vectors:
Rh 0.0000 0.0000 0.0000  6 O 2.01
Pd 0.7045 0.6572 0.4090  4 O 1.98-2.21
Pd 0.2955 0.3428 0.5910  4 O 1.98-2.21
O 0.1536 0.9308 0.3072  1 Rh 2.01, 3 Pd 2.05-2.21
O 0.5562 0.2911 0.1124  1 Pd 1.98, 2 Rh 2.01
O 0.8464 0.0692 0.6928  1 Rh 2.01, 3 Pd 2.05-2.21
O 0.4438 0.7089 0.8876  1 Pd 1.98, 2 Rh 2.01

***

Q: What is the magnetic moment in the third record?
A: 0.0 μB per cell

***

Copy entry 7 word for word.
Material: ErSnPb
Method: DFT, PBE-GGA
State: relaxed

Computed properties:
Space-group type: Pmma
Crystal system: orthorhombic
Total DFT energy (no corrections) in eV for the cell shown: -25.616
Magnetic moment in μB per cell: 0.0

a = 3.5080 Å, b = 5.9740 Å, c = 8.2072 Å
α = 90.00°, β = 90.00°, γ = 90.00°
Last column: nearest neighbours and their distance in Å.
Sites, in units of the cell vectors:
Er 0.0000 0.2500 0.6672  2 Sn 3.11, 6 Pb 3.35-3.47
Er 0.0000 0.7500 0.3328  2 Sn 3.11, 6 Pb 3.35-3.47
Sn 0.0000 0.0000 0.0000  2 Sn 2.99, 2 Er 3.11
Sn 0.0000 0.5000 0.0000  2 Sn 2.99, 2 Er 3.11
Pb 0.5000 0.2500 0.3198  6 Er 3.35-3.47, 4 Sn 3.49, 2 Pb 3.51
Pb 0.5000 0.7500 0.6802  6 Er 3.35-3.47, 4 Sn 3.49, 2 Pb 3.51